Record 1
Entry from Alexandria: a relaxed Li4Mn3Fe3Te2O16 crystal (GGA-PBEsol).

Structure (CIF):
```
data_Li4Mn3Fe3Te2O16
_chemical_formula_sum 'Li4 Mn3 Fe3 Te2 O16'
_symmetry_space_group_name_H-M 'P 1'
_symmetry_Int_Tables_number 1
_cell_length_a 5.708
_cell_length_b 5.699
_cell_length_c 9.839
_cell_angle_alpha 89.89
_cell_angle_beta 90.00
_cell_angle_gamma 120.06
loop_
_symmetry_equiv_pos_as_xyz
'x,y,z'
loop_
_atom_site_label
_atom_site_type_symbol
_atom_site_fract_x
_atom_site_fract_y
_atom_site_fract_z
_atom_site_occupancy
Mn1 Mn 0.173 0.345 0.783 1
Mn2 Mn 0.831 0.172 0.284 1
Mn3 Mn 0.341 0.172 0.284 1
Te1 Te 0.335 0.670 0.508 1
Te2 Te 0.669 0.338 0.003 1
Fe1 Fe 0.653 0.829 0.785 1
Fe2 Fe 0.177 0.829 0.785 1
Fe3 Fe 0.826 0.653 0.285 1
O1 O 0.690 0.844 0.393 1
O2 O 0.487 0.974 0.672 1
O3 O 0.331 0.663 0.893 1
O4 O 0.000 0.999 0.694 1
O5 O 0.000 0.999 0.191 1
O6 O 0.154 0.844 0.393 1
O7 O 0.486 0.514 0.669 1
O8 O 0.028 0.514 0.669 1
O9 O 0.845 0.690 0.892 1
O10 O 0.156 0.312 0.396 1
O11 O 0.974 0.486 0.172 1
O12 O 0.512 0.486 0.172 1
O13 O 0.663 0.326 0.391 1
O14 O 0.845 0.158 0.893 1
O15 O 0.514 0.028 0.173 1
O16 O 0.313 0.158 0.893 1
Li1 Li 0.334 0.668 0.102 1
Li2 Li 0.999 0.999 0.006 1
Li3 Li 0.998 0.995 0.509 1
Li4 Li 0.668 0.336 0.601 1
```

Calculated values
Formation energy from raw total energies in meV/atom: -1516
Space group: Cm (8)

Record 2
Entry from Alexandria: a relaxed MgTlF3 crystal (GGA-PBEsol).

Structure (CIF):
```
data_MgTlF3
_chemical_formula_sum 'Mg1 Tl1 F3'
_symmetry_space_group_name_H-M 'P 1'
_symmetry_Int_Tables_number 1
_cell_length_a 4.072
_cell_length_b 4.072
_cell_length_c 4.072
_cell_angle_alpha 90.00
_cell_angle_beta 90.00
_cell_angle_gamma 90.00
loop_
_symmetry_equiv_pos_as_xyz
'x,y,z'
loop_
_atom_site_label
_atom_site_type_symbol
_atom_site_fract_x
_atom_site_fract_y
_atom_site_fract_z
_atom_site_occupancy
Tl1 Tl 0.000 0.000 0.000 1
Mg1 Mg 0.500 0.500 0.500 1
F1 F 0.000 0.500 0.500 1
F2 F 0.500 0.000 0.500 1
F3 F 0.500 0.500 0.000 1
```

Calculated values
Formation energy from raw total energies in meV/atom: -2823
Space group: Pm-3m (221)

Record 3
Entry from Alexandria: a relaxed RbCo3As crystal (GGA-PBEsol).

Structure (CIF):
```
data_RbCo3As
_chemical_formula_sum 'Rb1 Co3 As1'
_symmetry_space_group_name_H-M 'P 1'
_symmetry_Int_Tables_number 1
_cell_length_a 4.485
_cell_length_b 4.485
_cell_length_c 4.485
_cell_angle_alpha 90.00
_cell_angle_beta 90.00
_cell_angle_gamma 90.00
loop_
_symmetry_equiv_pos_as_xyz
'x,y,z'
loop_
_atom_site_label
_atom_site_type_symbol
_atom_site_fract_x
_atom_site_fract_y
_atom_site_fract_z
_atom_site_occupancy
As1 As 0.500 0.500 0.500 1
Co1 Co 0.000 0.500 0.000 1
Co2 Co 0.000 0.000 0.500 1
Co3 Co 0.500 0.000 0.000 1
Rb1 Rb 0.000 0.000 0.000 1
```

Calculated values
E_tot in eV per cell: -16.56
Space group: Pm-3m (221)

Record 4
Entry from Alexandria: a relaxed K2RbH crystal (GGA-PBEsol).

Structure (CIF):
```
data_K2RbH
_chemical_formula_sum 'K4 Rb2 H2'
_symmetry_space_group_name_H-M 'P 1'
_symmetry_Int_Tables_number 1
_cell_length_a 8.503
_cell_length_b 8.503
_cell_length_c 8.503
_cell_angle_alpha 60.00
_cell_angle_beta 60.00
_cell_angle_gamma 60.00
loop_
_symmetry_equiv_pos_as_xyz
'x,y,z'
loop_
_atom_site_label
_atom_site_type_symbol
_atom_site_fract_x
_atom_site_fract_y
_atom_site_fract_z
_atom_site_occupancy
H1 H 0.250 0.250 0.250 1
H2 H 0.000 0.000 0.000 1
K1 K 0.125 0.125 0.625 1
K2 K 0.125 0.125 0.125 1
K3 K 0.625 0.125 0.125 1
K4 K 0.125 0.625 0.125 1
Rb1 Rb 0.750 0.750 0.750 1
Rb2 Rb 0.500 0.500 0.500 1
```

Calculated values
E_tot in eV per cell: -13.20
Space group: Fd-3m (227)

Record 5
Entry from Alexandria: a relaxed Cs4In2S5 crystal (GGA-PBEsol).

Structure (CIF):
```
data_Cs4In2S5
_chemical_formula_sum 'Cs8 In4 S10'
_symmetry_space_group_name_H-M 'P 1'
_symmetry_Int_Tables_number 1
_cell_length_a 7.744
_cell_length_b 9.673
_cell_length_c 11.071
_cell_angle_alpha 72.95
_cell_angle_beta 69.73
_cell_angle_gamma 84.31
loop_
_symmetry_equiv_pos_as_xyz
'x,y,z'
loop_
_atom_site_label
_atom_site_type_symbol
_atom_site_fract_x
_atom_site_fract_y
_atom_site_fract_z
_atom_site_occupancy
Cs1 Cs 0.507 0.790 0.912 1
Cs2 Cs 0.493 0.210 0.088 1
Cs3 Cs 0.544 0.184 0.547 1
Cs4 Cs 0.456 0.816 0.453 1
Cs5 Cs 0.119 0.179 0.906 1
Cs6 Cs 0.881 0.821 0.094 1
Cs7 Cs 0.766 0.473 0.661 1
Cs8 Cs 0.234 0.527 0.339 1
In1 In 0.033 0.003 0.341 1
In2 In 0.967 0.997 0.659 1
In3 In 0.878 0.410 0.168 1
In4 In 0.122 0.590 0.832 1
S1 S 0.833 0.849 0.562 1
S2 S 0.167 0.151 0.438 1
S3 S 0.814 0.145 0.231 1
S4 S 0.186 0.855 0.769 1
S5 S 0.205 0.489 0.043 1
S6 S 0.795 0.511 0.957 1
S7 S 0.719 0.518 0.346 1
S8 S 0.281 0.482 0.654 1
S9 S 0.255 0.893 0.184 1
S10 S 0.745 0.107 0.816 1
```

Calculated values
Formation energy from raw total energies in meV/atom: -1054
Space group: P-1 (2)

Record 6
Entry from Alexandria: a relaxed Rb2LiErCl6 crystal (GGA-PBEsol).

Structure (CIF):
```
data_Rb2LiErCl6
_chemical_formula_sum 'Rb2 Li1 Er1 Cl6'
_symmetry_space_group_name_H-M 'P 1'
_symmetry_Int_Tables_number 1
_cell_length_a 7.211
_cell_length_b 7.211
_cell_length_c 7.211
_cell_angle_alpha 60.00
_cell_angle_beta 60.00
_cell_angle_gamma 60.00
loop_
_symmetry_equiv_pos_as_xyz
'x,y,z'
loop_
_atom_site_label
_atom_site_type_symbol
_atom_site_fract_x
_atom_site_fract_y
_atom_site_fract_z
_atom_site_occupancy
Cl1 Cl 0.752 0.248 0.248 1
Cl2 Cl 0.248 0.248 0.752 1
Cl3 Cl 0.248 0.752 0.248 1
Cl4 Cl 0.248 0.752 0.752 1
Cl5 Cl 0.752 0.752 0.248 1
Cl6 Cl 0.752 0.248 0.752 1
Li1 Li 0.000 0.000 0.000 1
Rb1 Rb 0.250 0.250 0.250 1
Rb2 Rb 0.750 0.750 0.750 1
Er1 Er 0.500 0.500 0.500 1
```

Calculated values
Formation energy from raw total energies in meV/atom: -2104
Space group: Fm-3m (225)